Version P
# Al2Sn2I

A geometry-optimized Al2Sn2I structure (GGA-PBE, Alexandria via LeMat-Bulk).

Structure (POSCAR):
```
Al2Sn2I
1.0
-0.840 4.018 2.164
-4.548 -0.557 -0.733
-3.199 -1.307 6.158
I Sn Al
1 2 2
Cartesian
0.000 0.000 0.000
-3.367 2.221 4.519
-5.221 -0.066 3.070
-2.799 1.098 1.849
-5.788 1.057 5.740
```

Output
The calculation puts the total moment at 0.0 μB/cell.


Version Q
# Al2Sn2I

A geometry-optimized Al2Sn2I structure (GGA-PBE, Alexandria via LeMat-Bulk).

Structure (POSCAR):
```
Al2Sn2I
1.0
-0.351 -4.904 0.139
1.423 0.031 4.708
-4.897 -2.000 4.062
I Sn Al
1 2 2
Cartesian
0.000 0.000 0.000
-0.830 -2.327 2.835
-2.996 -4.546 6.074
-2.357 -4.670 3.312
-1.470 -2.203 5.597
```

Output
The calculation puts the total moment at 0.0 μB/cell.


Version R
# Al2Sn2I

A geometry-optimized Al2Sn2I structure (GGA-PBE, Alexandria via LeMat-Bulk).

Structure (POSCAR):
```
Al2Sn2I
1.0
-1.260 -3.485 7.876
6.113 -5.969 -1.663
2.424 2.114 1.323
I Sn Al
2 4 4
Cartesian
0.000 0.000 0.000
2.427 -4.727 3.106
4.672 -6.131 1.236
3.029 -6.885 5.450
0.181 -3.323 4.976
1.824 -2.569 0.763
4.883 -3.124 0.616
5.762 -6.340 4.144
2.395 -4.216 6.920
1.515 -1.000 3.392
```

Output
The calculation puts the total moment at 0.0 μB/cell.


Order from most stable to least stable according to the calculation: version P, version Q, version R


Version P
# SrAlI2

A geometry-optimized SrAlI2 structure (GGA-PBE, Alexandria via LeMat-Bulk).

Structure (POSCAR):
```
SrAlI2
1.0
-5.055 -2.672 -0.941
2.758 -5.080 -0.391
-2.290 -5.275 9.443
I Sr Al
4 2 2
Cartesian
-3.373 -3.617 1.726
0.506 -4.835 1.996
-2.571 -6.877 6.582
-3.734 -10.726 5.918
0.000 0.000 0.000
-4.246 -5.911 3.918
-1.148 -3.876 -0.666
-0.340 -7.116 4.193
```

Output
The calculation puts the total moment at 0.0 μB/cell.


Version Q
# SrAlI2

A geometry-optimized SrAlI2 structure (GGA-PBE, Alexandria via LeMat-Bulk).

Structure (POSCAR):
```
SrAlI2
1.0
1.928 -4.393 3.261
-3.261 -4.748 0.691
1.578 -4.992 -2.498
I Sr Al
2 1 1
Cartesian
0.061 -3.533 0.364
0.184 -10.600 1.091
0.123 -7.066 0.727
0.000 0.000 0.000
```

Output
The calculation puts the total moment at 0.0 μB/cell.


Order from most stable to least stable according to the calculation: version Q, version P


Version P
# SrAlI3

A geometry-optimized SrAlI3 structure (GGA-PBE, Alexandria via LeMat-Bulk).

Structure (POSCAR):
```
SrAlI3
1.0
6.384 0.000 0.000
0.000 6.384 0.000
0.000 0.000 6.384
I Sr Al
3 1 1
Cartesian
0.000 3.192 0.000
0.000 0.000 3.192
3.192 0.000 0.000
0.000 0.000 0.000
3.192 3.192 3.192
```

Output
The calculation puts the total moment at 0.0 μB/cell.


Version Q
# SrAlI3

A geometry-optimized SrAlI3 structure (GGA-PBE, Alexandria via LeMat-Bulk).

Structure (POSCAR):
```
SrAlI3
1.0
-2.530 -1.870 4.891
5.065 -2.254 1.758
1.331 5.024 2.609
I Sr Al
3 1 1
Cartesian
2.532 -1.127 0.879
0.665 2.512 1.305
-1.265 -0.935 2.446
1.933 0.450 4.629
0.000 0.000 0.000
```

Output
The calculation puts the total moment at 0.0 μB/cell.


Order from most stable to least stable according to the calculation: version P, version Q


Version P
# SrAl3I

A geometry-optimized SrAl3I structure (GGA-PBE, Alexandria via LeMat-Bulk).

Structure (POSCAR):
```
SrAl3I
1.0
5.704 0.000 0.000
0.000 5.704 0.000
0.000 0.000 5.704
I Sr Al
1 1 3
Cartesian
0.000 0.000 0.000
2.852 2.852 2.852
0.000 2.852 0.000
0.000 0.000 2.852
2.852 0.000 0.000
```

Output
The calculation puts the total moment at 0.0 μB/cell.


Version Q
# SrAl3I

A geometry-optimized SrAl3I structure (GGA-PBE, Alexandria via LeMat-Bulk).

Structure (POSCAR):
```
SrAl3I
1.0
6.261 0.000 0.000
0.000 6.261 0.000
0.000 0.000 6.261
I Sr Al
1 1 3
Cartesian
3.131 3.131 3.131
0.000 0.000 0.000
0.000 3.131 0.000
0.000 0.000 3.131
3.131 0.000 0.000
```

Output
The calculation puts the total moment at 1.4 μB/cell.


Order from most stable to least stable according to the calculation: version P, version Q


Version P
# SrAlTe2I

A geometry-optimized SrAlTe2I structure (GGA-PBE, Alexandria via LeMat-Bulk).

Structure (POSCAR):
```
SrAlTe2I
1.0
6.264 0.000 0.000
0.000 6.264 0.000
0.000 0.000 6.357
I Sr Te Al
1 1 2 1
Cartesian
0.000 0.000 3.179
0.000 0.000 0.000
0.000 3.132 0.000
3.132 0.000 0.000
3.132 3.132 3.179
```

Output
The calculation puts the total moment at 1.5 μB/cell.


Version Q
# SrAlTe2I

A geometry-optimized SrAlTe2I structure (GGA-PBE, Alexandria via LeMat-Bulk).

Structure (POSCAR):
```
SrAlTe2I
1.0
5.451 0.000 0.000
0.000 5.451 0.000
0.000 0.000 5.697
I Sr Te Al
1 1 2 1
Cartesian
0.000 0.000 2.849
2.726 2.726 2.849
0.000 2.726 0.000
2.726 0.000 0.000
0.000 0.000 0.000
```

Output
The calculation puts the total moment at 0.0 μB/cell.


Order from most stable to least stable according to the calculation: version Q, version P


Version P
# TaAlI2

A geometry-optimized TaAlI2 structure (GGA-PBE, Alexandria via LeMat-Bulk).

Structure (POSCAR):
```
TaAlI2
1.0
-1.150 -4.782 -0.905
-1.164 -3.052 3.787
-4.707 -1.591 0.573
I Al Ta
2 1 1
Cartesian
-1.755 -2.356 0.864
-5.266 -7.069 2.591
0.000 0.000 0.000
-3.511 -4.713 1.728
```

Output
The calculation puts the total moment at 0.0 μB/cell.


Version Q
# TaAlI2

A geometry-optimized TaAlI2 structure (GGA-PBE, Alexandria via LeMat-Bulk).

Structure (POSCAR):
```
TaAlI2
1.0
-2.461 -9.701 0.423
0.177 -0.482 -10.004
1.463 -5.749 -4.713
I Al Ta
4 2 2
Cartesian
-1.513 -8.992 -2.102
-1.929 -11.221 -7.017
0.215 -8.059 -5.652
-1.052 -12.811 -3.389
-1.142 -5.091 -4.791
0.249 -5.661 -9.754
0.000 0.000 0.000
-1.070 -10.271 -4.540
```

Output
The calculation puts the total moment at 2.0 μB/cell.


Order from most stable to least stable according to the calculation: version Q, version P


Version P
# Ta2AlI

A geometry-optimized Ta2AlI structure (GGA-PBE, Alexandria via LeMat-Bulk).

Structure (POSCAR):
```
Ta2AlI
1.0
0.000 3.354 3.354
3.354 0.000 3.354
3.354 3.354 0.000
I Al Ta
1 1 2
Cartesian
3.354 3.354 3.354
0.000 0.000 0.000
1.677 1.677 1.677
5.031 5.031 5.031
```

Output
The calculation puts the total moment at 0.0 μB/cell.


Version Q
# Ta2AlI

A geometry-optimized Ta2AlI structure (GGA-PBE, Alexandria via LeMat-Bulk).

Structure (POSCAR):
```
Ta2AlI
1.0
-2.875 -0.124 -2.955
2.705 -1.777 -2.557
-2.932 -9.809 0.387
I Al Ta
2 2 4
Cartesian
0.000 0.000 0.000
-2.946 -5.442 -2.662
-0.085 -0.951 -2.756
-0.156 -6.268 -2.463
-2.153 -2.750 -2.030
0.559 -3.580 -1.911
-2.226 -8.094 -1.811
-2.385 -8.996 -4.498
```

Output
The calculation puts the total moment at 0.0 μB/cell.


Order from most stable to least stable according to the calculation: version P, version Q


Version P
# TaAl2I

A geometry-optimized TaAl2I structure (GGA-PBE, Alexandria via LeMat-Bulk).

Structure (POSCAR):
```
TaAl2I
1.0
-2.530 4.957 -5.485
3.824 -4.083 -5.455
-1.696 -1.212 -5.878
I Al Ta
2 4 2
Cartesian
0.647 0.437 -5.470
1.388 -2.429 -8.401
-1.594 2.415 -5.724
1.717 -2.366 -5.420
-0.887 -0.474 -8.367
-0.039 -0.252 -14.125
0.000 0.000 0.000
-1.790 2.091 -8.416
```

Output
The calculation puts the total moment at 0.0 μB/cell.


Version Q
# TaAl2I

A geometry-optimized TaAl2I structure (GGA-PBE, Alexandria via LeMat-Bulk).

Structure (POSCAR):
```
TaAl2I
1.0
0.000 3.450 3.450
3.450 0.000 3.450
3.450 3.450 0.000
I Al Ta
1 2 1
Cartesian
0.000 0.000 0.000
1.725 1.725 1.725
5.175 5.175 5.175
3.450 3.450 3.450
```

Output
The calculation puts the total moment at 0.0 μB/cell.


Order from most stable to least stable according to the calculation: version P, version Q


Version P
# TaAlTe2I

A geometry-optimized TaAlTe2I structure (GGA-PBE, Alexandria via LeMat-Bulk).

Structure (POSCAR):
```
TaAlTe2I
1.0
-0.428 -0.606 5.232
3.452 -3.996 -0.181
3.938 3.370 0.713
I Te Al Ta
1 2 1 1
Cartesian
1.969 1.685 0.356
1.726 -1.998 -0.090
-0.214 -0.303 2.616
0.000 0.000 0.000
3.481 -0.616 2.882
```

Output
The calculation puts the total moment at 2.3 μB/cell.


Version Q
# TaAlTe2I

A geometry-optimized TaAlTe2I structure (GGA-PBE, Alexandria via LeMat-Bulk).

Structure (POSCAR):
```
TaAlTe2I
1.0
5.451 0.000 0.000
0.000 5.451 0.000
0.000 0.000 5.626
I Te Al Ta
1 2 1 1
Cartesian
0.000 0.000 2.813
0.000 2.726 0.000
2.726 0.000 0.000
2.726 2.726 2.813
0.000 0.000 0.000
```

Output
The calculation puts the total moment at 0.0 μB/cell.


Order from most stable to least stable according to the calculation: version Q, version P


Version P
# AlTc3I

A geometry-optimized AlTc3I structure (GGA-PBE, Alexandria via LeMat-Bulk).

Structure (POSCAR):
```
AlTc3I
1.0
4.578 0.000 0.000
0.000 4.578 0.000
0.000 0.000 4.578
I Tc Al
1 3 1
Cartesian
2.289 2.289 2.289
0.000 2.289 0.000
0.000 0.000 2.289
2.289 0.000 0.000
0.000 0.000 0.000
```

Output
The calculation puts the total moment at 1.1 μB/cell.


Version Q
# AlTc3I

A geometry-optimized AlTc3I structure (GGA-PBE, Alexandria via LeMat-Bulk).

Structure (POSCAR):
```
AlTc3I
1.0
-0.139 -4.720 0.767
3.219 0.475 3.507
-3.536 0.618 3.162
I Tc Al
1 3 1
Cartesian
0.000 0.000 0.000
1.610 0.238 1.753
-1.768 0.309 1.581
-0.070 -2.360 0.384
-0.228 -1.813 3.718
```

Output
The calculation puts the total moment at 1.9 μB/cell.


Order from most stable to least stable according to the calculation: version P, version Q


Version P
# AlTcTe2I

A geometry-optimized AlTcTe2I structure (GGA-PBE, Alexandria via LeMat-Bulk).

Structure (POSCAR):
```
AlTcTe2I
1.0
-2.171 4.570 -1.832
-4.921 -2.069 0.673
-0.134 1.966 5.062
I Te Tc Al
1 2 1 1
Cartesian
-0.067 0.983 2.531
-2.461 -1.034 0.336
-1.086 2.285 -0.916
-3.613 2.233 1.951
0.000 0.000 0.000
```

Output
The calculation puts the total moment at 5.1 μB/cell.


Version Q
# AlTcTe2I

A geometry-optimized AlTcTe2I structure (GGA-PBE, Alexandria via LeMat-Bulk).

Structure (POSCAR):
```
AlTcTe2I
1.0
5.164 0.000 0.000
0.000 5.164 0.000
0.000 0.000 5.878
I Te Tc Al
1 2 1 1
Cartesian
0.000 0.000 2.939
0.000 2.582 0.000
2.582 0.000 0.000
0.000 0.000 0.000
2.582 2.582 2.939
```

Output
The calculation puts the total moment at 0.0 μB/cell.


Order from most stable to least stable according to the calculation: version Q, version P


Version P
# AlTe3I

A geometry-optimized AlTe3I structure (GGA-PBE, Alexandria via LeMat-Bulk).

Structure (POSCAR):
```
AlTe3I
1.0
5.394 0.000 0.000
0.000 5.394 0.000
0.000 0.000 5.394
I Te Al
1 3 1
Cartesian
2.697 2.697 2.697
0.000 2.697 0.000
0.000 0.000 2.697
2.697 0.000 0.000
0.000 0.000 0.000
```

Output
The calculation puts the total moment at 0.0 μB/cell.


Version Q
# AlTe3I

A geometry-optimized AlTe3I structure (GGA-PBE, Alexandria via LeMat-Bulk).

Structure (POSCAR):
```
AlTe3I
1.0
5.898 0.000 0.000
0.000 5.898 0.000
0.000 0.000 5.898
I Te Al
1 3 1
Cartesian
0.000 0.000 0.000
0.000 2.949 0.000
0.000 0.000 2.949
2.949 0.000 0.000
2.949 2.949 2.949
```

Output
The calculation puts the total moment at 0.0 μB/cell.


Order from most stable to least stable according to the calculation: version P, version Q


Version P
# AlTeI2

A geometry-optimized AlTeI2 structure (GGA-PBE, Alexandria via LeMat-Bulk).

Structure (POSCAR):
```
AlTeI2
1.0
10.880 0.000 0.000
0.000 10.880 0.000
5.440 5.440 2.710
I Te Al
4 2 2
Cartesian
6.265 2.720 0.678
4.615 8.160 0.678
8.160 10.055 2.033
13.600 11.705 2.033
0.000 0.000 0.000
10.880 5.440 1.355
5.440 5.440 0.000
5.440 10.880 1.355
```

Output
The calculation puts the total moment at 0.0 μB/cell.


Version Q
# AlTeI2

A geometry-optimized AlTeI2 structure (GGA-PBE, Alexandria via LeMat-Bulk).

Structure (POSCAR):
```
AlTeI2
1.0
0.000 3.970 3.970
3.970 0.000 3.970
3.970 3.970 0.000
I Te Al
2 1 1
Cartesian
1.985 1.985 1.985
5.955 5.955 5.955
3.970 3.970 3.970
0.000 0.000 0.000
```

Output
The calculation puts the total moment at 0.0 μB/cell.


Order from most stable to least stable according to the calculation: version P, version Q